(A)
BeZnFePt after structural relaxation. Source: OQMD, functional PBE-GGA.

Values from the calculation:
The total magnetization is 11.9 Bohr magnetons per cell.

Cell and atoms, written as extended XYZ:
```
16
Lattice="5.866 0.000 0.000 0.000 5.866 0.000 0.000 0.000 5.866" Properties=species:S:1:pos:R:3 pbc="T T T"
Be 0.000 0.000 0.000
Be 0.000 2.933 2.933
Be 2.933 0.000 2.933
Be 2.933 2.933 0.000
Zn 1.467 1.467 1.467
Zn 1.467 4.400 4.400
Zn 4.400 1.467 4.400
Zn 4.400 4.400 1.467
Fe 0.000 0.000 2.933
Fe 0.000 2.933 0.000
Fe 2.933 0.000 0.000
Fe 2.933 2.933 2.933
Pt 1.467 1.467 4.400
Pt 1.467 4.400 1.467
Pt 4.400 1.467 1.467
Pt 4.400 4.400 4.400
```


(B)
BeZnFePt after structural relaxation. Source: OQMD, functional PBE-GGA.

Values from the calculation:
The total magnetization is 7.7 Bohr magnetons per cell.

Cell and atoms, written as extended XYZ:
```
16
Lattice="5.812 0.000 0.000 0.000 5.812 0.000 0.000 0.000 5.812" Properties=species:S:1:pos:R:3 pbc="T T T"
Be 0.000 0.000 0.000
Be 0.000 2.906 2.906
Be 2.906 0.000 2.906
Be 2.906 2.906 0.000
Zn 0.000 0.000 2.906
Zn 0.000 2.906 0.000
Zn 2.906 0.000 0.000
Zn 2.906 2.906 2.906
Fe 1.453 1.453 4.359
Fe 1.453 4.359 1.453
Fe 4.359 1.453 1.453
Fe 4.359 4.359 4.359
Pt 1.453 1.453 1.453
Pt 1.453 4.359 4.359
Pt 4.359 1.453 4.359
Pt 4.359 4.359 1.453
```


Most stable structure, least stable structure: (B), (A).


(A)
RbBeFeRe after structural relaxation. Source: OQMD, functional PBE-GGA.

Values from the calculation:
The total magnetization is 16.6 Bohr magnetons per cell.

Cell and atoms, written as extended XYZ:
```
16
Lattice="6.506 0.000 0.000 0.000 6.506 0.000 0.000 0.000 6.506" Properties=species:S:1:pos:R:3 pbc="T T T"
Rb 0.000 0.000 0.000
Rb 0.000 3.253 3.253
Rb 3.253 0.000 3.253
Rb 3.253 3.253 0.000
Be 1.626 1.626 4.879
Be 1.626 4.879 1.626
Be 4.879 1.626 1.626
Be 4.879 4.879 4.879
Fe 1.626 1.626 1.626
Fe 1.626 4.879 4.879
Fe 4.879 1.626 4.879
Fe 4.879 4.879 1.626
Re 0.000 0.000 3.253
Re 0.000 3.253 0.000
Re 3.253 0.000 0.000
Re 3.253 3.253 3.253
```


(B)
RbBeFeRe after structural relaxation. Source: OQMD, functional PBE-GGA.

Values from the calculation:
The total magnetization is 16.0 Bohr magnetons per cell.

Cell and atoms, written as extended XYZ:
```
16
Lattice="6.409 0.000 0.000 0.000 6.409 0.000 0.000 0.000 6.409" Properties=species:S:1:pos:R:3 pbc="T T T"
Rb 0.000 0.000 0.000
Rb 0.000 3.205 3.205
Rb 3.205 0.000 3.205
Rb 3.205 3.205 0.000
Be 0.000 0.000 3.205
Be 0.000 3.205 0.000
Be 3.205 0.000 0.000
Be 3.205 3.205 3.205
Fe 1.602 1.602 4.807
Fe 1.602 4.807 1.602
Fe 4.807 1.602 1.602
Fe 4.807 4.807 4.807
Re 1.602 1.602 1.602
Re 1.602 4.807 4.807
Re 4.807 1.602 4.807
Re 4.807 4.807 1.602
```


Most stable structure, least stable structure: (A), (B).


(A)
BeFeReSi after structural relaxation. Source: OQMD, functional PBE-GGA.

Values from the calculation:
The total magnetization is 8.5 Bohr magnetons per cell.

Cell and atoms, written as extended XYZ:
```
16
Lattice="5.687 0.000 0.000 0.000 5.687 0.000 0.000 0.000 5.687" Properties=species:S:1:pos:R:3 pbc="T T T"
Be 0.000 0.000 0.000
Be 0.000 2.844 2.844
Be 2.844 0.000 2.844
Be 2.844 2.844 0.000
Fe 0.000 0.000 2.844
Fe 0.000 2.844 0.000
Fe 2.844 0.000 0.000
Fe 2.844 2.844 2.844
Re 1.422 1.422 4.265
Re 1.422 4.265 1.422
Re 4.265 1.422 1.422
Re 4.265 4.265 4.265
Si 1.422 1.422 1.422
Si 1.422 4.265 4.265
Si 4.265 1.422 4.265
Si 4.265 4.265 1.422
```


(B)
BeFeReSi after structural relaxation. Source: OQMD, functional PBE-GGA.

Values from the calculation:
The total magnetization is 6.9 Bohr magnetons per cell.

Cell and atoms, written as extended XYZ:
```
16
Lattice="5.664 0.000 0.000 0.000 5.664 0.000 0.000 0.000 5.664" Properties=species:S:1:pos:R:3 pbc="T T T"
Be 0.000 0.000 0.000
Be 0.000 2.832 2.832
Be 2.832 0.000 2.832
Be 2.832 2.832 0.000
Fe 1.416 1.416 4.248
Fe 1.416 4.248 1.416
Fe 4.248 1.416 1.416
Fe 4.248 4.248 4.248
Re 1.416 1.416 1.416
Re 1.416 4.248 4.248
Re 4.248 1.416 4.248
Re 4.248 4.248 1.416
Si 0.000 0.000 2.832
Si 0.000 2.832 0.000
Si 2.832 0.000 0.000
Si 2.832 2.832 2.832
```


Most stable structure, least stable structure: (B), (A).


(A)
BeFeSiSn after structural relaxation. Source: OQMD, functional PBE-GGA.

Values from the calculation:
The total magnetization is 0.0 Bohr magnetons per cell.

Cell and atoms, written as extended XYZ:
```
16
Lattice="6.015 0.000 0.000 0.000 6.015 0.000 0.000 0.000 6.015" Properties=species:S:1:pos:R:3 pbc="T T T"
Be 0.000 0.000 0.000
Be 0.000 3.007 3.007
Be 3.007 0.000 3.007
Be 3.007 3.007 0.000
Fe 0.000 0.000 3.007
Fe 0.000 3.007 0.000
Fe 3.007 0.000 0.000
Fe 3.007 3.007 3.007
Si 1.504 1.504 1.504
Si 1.504 4.511 4.511
Si 4.511 1.504 4.511
Si 4.511 4.511 1.504
Sn 1.504 1.504 4.511
Sn 1.504 4.511 1.504
Sn 4.511 1.504 1.504
Sn 4.511 4.511 4.511
```


(B)
BeFeSiSn after structural relaxation. Source: OQMD, functional PBE-GGA.

Values from the calculation:
The total magnetization is 6.0 Bohr magnetons per cell.

Cell and atoms, written as extended XYZ:
```
16
Lattice="6.140 0.000 0.000 0.000 6.140 0.000 0.000 0.000 6.140" Properties=species:S:1:pos:R:3 pbc="T T T"
Be 0.000 0.000 0.000
Be 0.000 3.070 3.070
Be 3.070 0.000 3.070
Be 3.070 3.070 0.000
Fe 1.535 1.535 4.605
Fe 1.535 4.605 1.535
Fe 4.605 1.535 1.535
Fe 4.605 4.605 4.605
Si 0.000 0.000 3.070
Si 0.000 3.070 0.000
Si 3.070 0.000 0.000
Si 3.070 3.070 3.070
Sn 1.535 1.535 1.535
Sn 1.535 4.605 4.605
Sn 4.605 1.535 4.605
Sn 4.605 4.605 1.535
```


Most stable structure, least stable structure: (A), (B).


(A)
TaBeFeSi after structural relaxation. Source: OQMD, functional PBE-GGA.

Values from the calculation:
The total magnetization is 3.7 Bohr magnetons per cell.

Cell and atoms, written as extended XYZ:
```
16
Lattice="5.798 0.000 0.000 0.000 5.798 0.000 0.000 0.000 5.798" Properties=species:S:1:pos:R:3 pbc="T T T"
Ta 0.000 0.000 0.000
Ta 0.000 2.899 2.899
Ta 2.899 0.000 2.899
Ta 2.899 2.899 0.000
Be 1.449 1.449 1.449
Be 1.449 4.348 4.348
Be 4.348 1.449 4.348
Be 4.348 4.348 1.449
Fe 1.449 1.449 4.348
Fe 1.449 4.348 1.449
Fe 4.348 1.449 1.449
Fe 4.348 4.348 4.348
Si 0.000 0.000 2.899
Si 0.000 2.899 0.000
Si 2.899 0.000 0.000
Si 2.899 2.899 2.899
```


(B)
TaBeFeSi after structural relaxation. Source: OQMD, functional PBE-GGA.

Values from the calculation:
The total magnetization is 6.6 Bohr magnetons per cell.

Cell and atoms, written as extended XYZ:
```
16
Lattice="5.819 0.000 0.000 0.000 5.819 0.000 0.000 0.000 5.819" Properties=species:S:1:pos:R:3 pbc="T T T"
Ta 0.000 0.000 0.000
Ta 0.000 2.910 2.910
Ta 2.910 0.000 2.910
Ta 2.910 2.910 0.000
Be 1.455 1.455 4.364
Be 1.455 4.364 1.455
Be 4.364 1.455 1.455
Be 4.364 4.364 4.364
Fe 0.000 0.000 2.910
Fe 0.000 2.910 0.000
Fe 2.910 0.000 0.000
Fe 2.910 2.910 2.910
Si 1.455 1.455 1.455
Si 1.455 4.364 4.364
Si 4.364 1.455 4.364
Si 4.364 4.364 1.455
```


Most stable structure, least stable structure: (A), (B).


(A)
ZrBeFeSi after structural relaxation. Source: OQMD, functional PBE-GGA.

Values from the calculation:
The total magnetization is 0.1 Bohr magnetons per cell.

Cell and atoms, written as extended XYZ:
```
16
Lattice="5.973 0.000 0.000 0.000 5.973 0.000 0.000 0.000 5.973" Properties=species:S:1:pos:R:3 pbc="T T T"
Zr 0.000 0.000 0.000
Zr 0.000 2.986 2.986
Zr 2.986 0.000 2.986
Zr 2.986 2.986 0.000
Be 0.000 0.000 2.986
Be 0.000 2.986 0.000
Be 2.986 0.000 0.000
Be 2.986 2.986 2.986
Fe 1.493 1.493 1.493
Fe 1.493 4.480 4.480
Fe 4.480 1.493 4.480
Fe 4.480 4.480 1.493
Si 1.493 1.493 4.480
Si 1.493 4.480 1.493
Si 4.480 1.493 1.493
Si 4.480 4.480 4.480
```


(B)
ZrBeFeSi after structural relaxation. Source: OQMD, functional PBE-GGA.

Values from the calculation:
The total magnetization is 0.0 Bohr magnetons per cell.

Cell and atoms, written as extended XYZ:
```
16
Lattice="5.944 0.000 0.000 0.000 5.944 0.000 0.000 0.000 5.944" Properties=species:S:1:pos:R:3 pbc="T T T"
Zr 0.000 0.000 0.000
Zr 0.000 2.972 2.972
Zr 2.972 0.000 2.972
Zr 2.972 2.972 0.000
Be 1.486 1.486 1.486
Be 1.486 4.458 4.458
Be 4.458 1.486 4.458
Be 4.458 4.458 1.486
Fe 0.000 0.000 2.972
Fe 0.000 2.972 0.000
Fe 2.972 0.000 0.000
Fe 2.972 2.972 2.972
Si 1.486 1.486 4.458
Si 1.486 4.458 1.486
Si 4.458 1.486 1.486
Si 4.458 4.458 4.458
```


Most stable structure, least stable structure: (B), (A).